The following is a PBE with a Hubbard U calculation of crystalline Rb2WF at its relaxed geometry, from Alexandria.

a b c (Å): 8.4128 8.4128 8.4128
angles (deg): 90.00 90.00 90.00
Space group Fm-3m (No. 225)
Asymmetric unit:
Rb (0.2500, 0.2500, 0.2500) (multiplicity 8)
W (0.0000, 0.0000, 0.0000) (multiplicity 4)
F (0.0000, 0.0000, 0.5000) (multiplicity 4)

Values from the calculation:
Its density of states at the Fermi level is 0.00 states/eV/atom. The value obtained for the offset from the most stable computed form is 1.15 eV/f.u.


The following is a PBE with a Hubbard U calculation of crystalline Rb2WF8 at its relaxed geometry, from Alexandria.

a b c (Å): 10.8456 8.2528 5.2961
angles (deg): 90.00 104.42 90.00
Space group C2/m (No. 12)
Asymmetric unit:
Rb (0.1352, 0.0000, 0.3253) (multiplicity 4)
W (0.0000, 0.5000, 0.0000) (multiplicity 2)
F (0.0998, 0.5000, 0.7554) (multiplicity 4)
F (0.1049, 0.3404, 0.1979) (multiplicity 8)
F (0.1208, 0.0000, 0.8158) (multiplicity 4)

Values from the calculation:
Its density of states at the Fermi level is 0.19 states/eV/atom. The value obtained for the energy is -0.1746 hartree per atom.


The following is a PBE with a Hubbard U calculation of crystalline Rb2WF7 at its relaxed geometry, from Alexandria.

a b c (Å): 6.8085 6.8085 9.1344
angles (deg): 90.00 90.00 90.00
Space group I4/mmm (No. 139)
Asymmetric unit:
Rb (0.0000, 0.5000, 0.2500) (multiplicity 4)
W (0.0000, 0.0000, 0.0000) (multiplicity 2)
F (0.0000, 0.0000, 0.2080) (multiplicity 4)
F (0.0000, 0.0000, 0.5000) (multiplicity 2)
F (0.2034, 0.2034, 0.0000) (multiplicity 8)

Values from the calculation:
Its density of states at the Fermi level is 0.00 states/eV/atom. The value obtained for the offset from the most stable computed form is 3.08 eV/f.u.


The following is a PBE with a Hubbard U calculation of crystalline RbWF4 at its relaxed geometry, from Alexandria.

a b c (Å): 14.4880 5.3376 5.9827
angles (deg): 90.00 108.60 90.00
Space group C2/c (No. 15)
Asymmetric unit:
Rb (0.0000, 0.2353, 0.2500) (multiplicity 4)
W (0.2500, 0.2500, 0.0000) (multiplicity 4)
F (0.1014, 0.3221, 0.9243) (multiplicity 8)
F (0.2140, 0.0791, 0.6596) (multiplicity 8)

Values from the calculation:
Its density of states at the Fermi level is 0.00 states/eV/atom. The value obtained for the energy is -0.1946 hartree per atom.


The following is a PBE with a Hubbard U calculation of crystalline Rb3WF6 at its relaxed geometry, from Alexandria.

a b c (Å): 6.5778 6.5778 9.6416
angles (deg): 90.00 90.00 90.00
Space group P4/mnc (No. 128)
Asymmetric unit:
Rb (0.0000, 0.0000, 0.0000) (multiplicity 2)
Rb (0.0000, 0.5000, 0.2500) (multiplicity 4)
W (0.0000, 0.0000, 0.5000) (multiplicity 2)
F (0.0000, 0.0000, 0.2793) (multiplicity 4)
F (0.1377, 0.2918, 0.5000) (multiplicity 8)

Values from the calculation:
Its density of states at the Fermi level is 0.00 states/eV/atom. The value obtained for the offset from the most stable computed form is 0.00 eV/f.u.


The following is a PBE with a Hubbard U calculation of crystalline RbWF3 at its relaxed geometry, from Alexandria.

a b c (Å): 6.0408 6.0408 12.0893
angles (deg): 90.00 90.00 90.00
Space group I4/mmm (No. 139)
Asymmetric unit:
Rb (0.0000, 0.5000, 0.2500) (multiplicity 4)
W (0.0000, 0.0000, 0.0000) (multiplicity 2)
W (0.0000, 0.0000, 0.5000) (multiplicity 2)
F (0.0000, 0.0000, 0.1741) (multiplicity 4)
F (0.2484, 0.2484, 0.0000) (multiplicity 8)

Values from the calculation:
The value obtained for the offset from the most stable computed form is 0.00 eV/f.u.


The following is a PBE with a Hubbard U calculation of crystalline Rb3WF6 at its relaxed geometry, from Alexandria.

a b c (Å): 6.7361 6.7361 9.5178
angles (deg): 90.00 90.00 90.00
Space group I4/mmm (No. 139)
Asymmetric unit:
Rb (0.0000, 0.0000, 0.0000) (multiplicity 2)
Rb (0.0000, 0.5000, 0.2500) (multiplicity 4)
W (0.0000, 0.0000, 0.5000) (multiplicity 2)
F (0.0000, 0.0000, 0.2781) (multiplicity 4)
F (0.2220, 0.2220, 0.5000) (multiplicity 8)

Values from the calculation:
Its density of states at the Fermi level is 0.00 states/eV/atom. The value obtained for the offset from the most stable computed form is 0.25 eV/f.u.


The following is a PBE with a Hubbard U calculation of crystalline RbWF2 at its relaxed geometry, from Alexandria.

a b c (Å): 3.0941 3.0941 24.0523
angles (deg): 90.00 90.00 120.00
Space group R-3m (No. 166, hexagonal axes)
Asymmetric unit:
Rb (0.0000, 0.0000, 0.0000) (multiplicity 3)
W (0.0000, 0.0000, 0.5000) (multiplicity 3)
F (0.0000, 0.0000, 0.4134) (multiplicity 6)

Values from the calculation:
Its density of states at the Fermi level is 0.49 states/eV/atom. The value obtained for the offset from the most stable computed form is 0.41 eV/f.u.


Number 1: size of the total moment 1.2500 μB per atom. Number 2: size of the total moment 0.0142 μB per atom. Number 3: size of the total moment 0.1000 μB per atom. Number 4: size of the total moment 0.5000 μB per atom. Number 5: size of the total moment 0.3000 μB per atom. Number 6: size of the total moment 0.6000 μB per atom. Number 7: size of the total moment 0.3000 μB per atom. Number 8: size of the total moment 0.0003 μB per atom.